(1)
AcHfSe | GGA-PBE | relaxed

Computed properties:
For the formation energy without anion corrections, the calculation gives -696 meV/atom. The electronic total energy comes out at -39.27 eV/cell.

Structure (CIF):
```
data_AcHfSe
_cell_length_a 3.714
_cell_length_b 3.714
_cell_length_c 13.943
_cell_angle_alpha 90.00
_cell_angle_beta 90.00
_cell_angle_gamma 120.00
_space_group_name_H-M_alt 'P 1'
_space_group_IT_number 1
loop_
_space_group_symop_operation_xyz
'x,y,z'
loop_
_atom_site_label
_atom_site_type_symbol
_atom_site_fract_x
_atom_site_fract_y
_atom_site_fract_z
Hf1 Hf 0.000 0.000 0.000
Hf2 Hf 0.333 0.667 0.500
Se1 Se 0.000 0.000 0.379
Se2 Se 0.000 0.000 0.621
Ac1 Ac 0.333 0.667 0.798
Ac2 Ac 0.333 0.667 0.202
```

(2)
AcHf2Se | GGA-PBE | relaxed

Computed properties:
For the formation energy without anion corrections, the calculation gives 21 meV/atom. The electronic total energy comes out at -27.42 eV/cell.

Structure (CIF):
```
data_AcHf2Se
_cell_length_a 3.416
_cell_length_b 3.416
_cell_length_c 10.520
_cell_angle_alpha 80.66
_cell_angle_beta 80.66
_cell_angle_gamma 60.00
_space_group_name_H-M_alt 'P 1'
_space_group_IT_number 1
loop_
_space_group_symop_operation_xyz
'x,y,z'
loop_
_atom_site_label
_atom_site_type_symbol
_atom_site_fract_x
_atom_site_fract_y
_atom_site_fract_z
Ac1 Ac 0.000 0.000 0.000
Hf1 Hf 0.105 0.105 0.685
Hf2 Hf 0.895 0.895 0.315
Se1 Se 0.500 0.500 0.500
```

(3)
AcHf2Se6 | GGA-PBE | relaxed

Computed properties:
For the formation energy without anion corrections, the calculation gives -1306 meV/atom. The electronic total energy comes out at -56.68 eV/cell.

Structure (CIF):
```
data_AcHf2Se6
_cell_length_a 6.912
_cell_length_b 6.912
_cell_length_c 6.516
_cell_angle_alpha 90.00
_cell_angle_beta 90.00
_cell_angle_gamma 120.00
_space_group_name_H-M_alt 'P 1'
_space_group_IT_number 1
loop_
_space_group_symop_operation_xyz
'x,y,z'
loop_
_atom_site_label
_atom_site_type_symbol
_atom_site_fract_x
_atom_site_fract_y
_atom_site_fract_z
Ac1 Ac 0.000 0.000 0.000
Hf1 Hf 0.333 0.667 0.500
Hf2 Hf 0.667 0.333 0.500
Se1 Se 0.623 0.000 0.261
Se2 Se 0.377 0.377 0.261
Se3 Se 0.000 0.623 0.261
Se4 Se 0.623 0.623 0.739
Se5 Se 0.000 0.377 0.739
Se6 Se 0.377 0.000 0.739
```

(4)
Ac3HfSe6 | GGA-PBE | relaxed

Computed properties:
The value obtained for the excess energy over the best structure of this formula in the dataset is 0 meV per atom. For the formation energy without anion corrections, the calculation gives -1784 meV/atom. The electronic total energy comes out at -122.06 eV/cell.

Structure (CIF):
```
data_Ac3HfSe6
_cell_length_a 8.662
_cell_length_b 8.662
_cell_length_c 8.662
_cell_angle_alpha 97.92
_cell_angle_beta 97.92
_cell_angle_gamma 97.92
_space_group_name_H-M_alt 'P 1'
_space_group_IT_number 1
loop_
_space_group_symop_operation_xyz
'x,y,z'
loop_
_atom_site_label
_atom_site_type_symbol
_atom_site_fract_x
_atom_site_fract_y
_atom_site_fract_z
Ac1 Ac 0.113 0.624 0.293
Ac2 Ac 0.293 0.113 0.624
Ac3 Ac 0.376 0.707 0.887
Ac4 Ac 0.624 0.293 0.113
Ac5 Ac 0.707 0.887 0.376
Ac6 Ac 0.887 0.376 0.707
Hf1 Hf 0.000 0.000 0.000
Hf2 Hf 0.500 0.500 0.500
Se1 Se 0.026 0.692 0.937
Se2 Se 0.063 0.974 0.308
Se3 Se 0.199 0.432 0.567
Se4 Se 0.308 0.063 0.974
Se5 Se 0.432 0.567 0.199
Se6 Se 0.433 0.801 0.568
Se7 Se 0.567 0.199 0.432
Se8 Se 0.568 0.433 0.801
Se9 Se 0.692 0.937 0.026
Se10 Se 0.801 0.568 0.433
Se11 Se 0.937 0.026 0.692
Se12 Se 0.974 0.308 0.063
```

(5)
AcHfSe3 | GGA-PBE | relaxed

Computed properties:
The value obtained for the excess energy over the best structure of this formula in the dataset is 0 meV per atom. For the formation energy without anion corrections, the calculation gives -1629 meV/atom. The electronic total energy comes out at -130.63 eV/cell.

Structure (CIF):
```
data_AcHfSe3
_cell_length_a 4.036
_cell_length_b 8.723
_cell_length_c 14.501
_cell_angle_alpha 90.00
_cell_angle_beta 90.00
_cell_angle_gamma 90.00
_space_group_name_H-M_alt 'P 1'
_space_group_IT_number 1
loop_
_space_group_symop_operation_xyz
'x,y,z'
loop_
_atom_site_label
_atom_site_type_symbol
_atom_site_fract_x
_atom_site_fract_y
_atom_site_fract_z
Ac1 Ac 0.250 0.921 0.330
Ac2 Ac 0.750 0.079 0.670
Ac3 Ac 0.750 0.579 0.830
Ac4 Ac 0.250 0.421 0.170
Hf1 Hf 0.250 0.648 0.551
Hf2 Hf 0.750 0.352 0.449
Hf3 Hf 0.750 0.852 0.051
Hf4 Hf 0.250 0.148 0.949
Se1 Se 0.750 0.203 0.287
Se2 Se 0.250 0.661 0.994
Se3 Se 0.250 0.032 0.117
Se4 Se 0.250 0.532 0.383
Se5 Se 0.250 0.161 0.506
Se6 Se 0.750 0.468 0.617
Se7 Se 0.250 0.297 0.787
Se8 Se 0.750 0.968 0.883
Se9 Se 0.750 0.339 0.006
Se10 Se 0.750 0.703 0.213
Se11 Se 0.750 0.839 0.494
Se12 Se 0.250 0.797 0.713
```

(6)
AcHfSe4 | GGA-PBE | relaxed

Computed properties:
For the formation energy without anion corrections, the calculation gives -1271 meV/atom. The electronic total energy comes out at -71.25 eV/cell.

Structure (CIF):
```
data_AcHfSe4
_cell_length_a 6.315
_cell_length_b 8.167
_cell_length_c 9.970
_cell_angle_alpha 90.00
_cell_angle_beta 90.00
_cell_angle_gamma 130.25
_space_group_name_H-M_alt 'P 1'
_space_group_IT_number 1
loop_
_space_group_symop_operation_xyz
'x,y,z'
loop_
_atom_site_label
_atom_site_type_symbol
_atom_site_fract_x
_atom_site_fract_y
_atom_site_fract_z
Ac1 Ac 0.997 0.588 0.750
Ac2 Ac 0.003 0.412 0.250
Hf1 Hf 0.997 0.096 0.750
Hf2 Hf 0.003 0.904 0.250
Se1 Se 0.590 0.700 0.750
Se2 Se 0.410 0.300 0.250
Se3 Se 0.404 0.107 0.750
Se4 Se 0.596 0.893 0.250
Se5 Se 0.002 0.721 0.047
Se6 Se 0.998 0.279 0.547
Se7 Se 0.002 0.721 0.453
Se8 Se 0.998 0.279 0.953
```

- Number 3 is which compound?
  AcHf2Se6

- Among the records above, which one has the highest formation energy without anion corrections?
  AcHf2Se